Entry 1:
# OsIBr5

A relaxed OsIBr5 crystal (PBE-GGA, Alexandria).

Theoretical density ... 3359 kg/m³
Uncorrected formation energy ... -20.2 meV/atom

a b c (Å): 11.8211 11.8218 12.2410
angles (deg): 59.27 28.82 64.13
Fractional positions:
Os 0.0000 0.0000 0.0000
Os 0.5000 0.0000 0.5000
I 0.4674 0.7174 0.2500
I 0.5326 0.2826 0.7500
Br 0.7412 0.8011 0.3569
Br 0.8060 0.0689 0.6108
Br 0.3420 0.9019 0.8569
Br 0.8501 0.1001 0.2500
Br 0.1797 0.4169 0.8892
Br 0.8203 0.5831 0.1108
Br 0.1499 0.8999 0.7500
Br 0.6580 0.0981 0.1431
Br 0.1940 0.9311 0.3892
Br 0.2588 0.1989 0.6431

=====

Entry 2:
# OsIBr3

A relaxed OsIBr3 crystal (PBE-GGA, Alexandria).

Theoretical density ... 6927 kg/m³
Uncorrected formation energy ... 524.6 meV/atom
Relative energy among the computed polymorphs ... 2.69 eV/f.u.

a b c (Å): 5.1108 5.1108 5.1108
angles (deg): 90.00 90.00 90.00
Fractional positions:
I 0.5000 0.5000 0.5000
Os 0.0000 0.0000 0.0000
Br 0.0000 0.5000 0.0000
Br 0.0000 0.0000 0.5000
Br 0.5000 0.0000 0.0000

=====

Entry 3:
# OsIBr3

A relaxed OsIBr3 crystal (PBE-GGA, Alexandria).

Theoretical density ... 5344 kg/m³
Uncorrected formation energy ... -13.5 meV/atom
Relative energy among the computed polymorphs ... 0.00 eV/f.u.

a b c (Å): 7.1906 6.4661 8.8502
angles (deg): 77.07 73.81 110.40
Fractional positions:
Os 0.7970 0.0943 0.3692
Os 0.9272 0.7245 0.1088
I 0.8015 0.5938 0.8828
I 0.4454 0.7376 0.5952
Br 0.9232 0.2235 0.5747
Br 0.7136 0.9605 0.1327
Br 0.1202 0.4666 0.1301
Br 0.6072 0.3541 0.3454
Br 0.0113 0.8577 0.3479
Br 0.2589 0.0592 0.9034

=====

Entry 4:
# OsIBr2

A relaxed OsIBr2 crystal (PBE-GGA, Alexandria).

Theoretical density ... 5960 kg/m³
Uncorrected formation energy ... 379.8 meV/atom
Relative energy among the computed polymorphs ... 0.00 eV/f.u.

a b c (Å): 11.0779 11.0779 11.0779
angles (deg): 19.53 19.53 19.53
Fractional positions:
I 0.0000 0.0000 0.0000
Os 0.5000 0.5000 0.5000
Br 0.8732 0.8732 0.8732
Br 0.1268 0.1268 0.1268

=====

Entry 5:
# OsI2Br

A relaxed OsI2Br crystal (PBE-GGA, Alexandria).

Theoretical density ... 9403 kg/m³
Uncorrected formation energy ... 1304.9 meV/atom
Relative energy among the computed polymorphs ... 2.79 eV/f.u.

a b c (Å): 5.0769 5.0769 5.0769
angles (deg): 60.00 60.00 60.00
Fractional positions:
I 0.2500 0.2500 0.2500
I 0.7500 0.7500 0.7500
Os 0.5000 0.5000 0.5000
Br 0.0000 0.0000 0.0000

=====

Entry 6:
# OsI2Br6

A relaxed OsI2Br6 crystal (PBE-GGA, Alexandria).

Theoretical density ... 4033 kg/m³
Uncorrected formation energy ... -8.6 meV/atom

a b c (Å): 7.1588 10.3999 10.3999
angles (deg): 80.57 85.87 85.87
Fractional positions:
Os 0.2500 0.0686 0.9314
Os 0.7500 0.9314 0.0686
I 0.1059 0.6373 0.6360
I 0.3941 0.3640 0.3627
I 0.8941 0.3627 0.3640
I 0.6059 0.6360 0.6373
Br 0.3557 0.7875 0.4834
Br 0.1443 0.5166 0.2125
Br 0.6443 0.2125 0.5166
Br 0.8557 0.4834 0.7875
Br 0.8473 0.9068 0.2911
Br 0.6527 0.7089 0.0932
Br 0.1527 0.0932 0.7089
Br 0.3473 0.2911 0.9068
Br 0.0779 0.8545 0.9842
Br 0.4221 0.0158 0.1455
Br 0.9221 0.1455 0.0158
Br 0.5779 0.9842 0.8545

=====

Entry 7:
# OsI2Br

A relaxed OsI2Br crystal (PBE-GGA, Alexandria).

Theoretical density ... 6378 kg/m³
Uncorrected formation energy ... 606.2 meV/atom
Relative energy among the computed polymorphs ... 0.00 eV/f.u.

a b c (Å): 7.5875 7.5875 7.1586
angles (deg): 58.00 58.00 90.00
Fractional positions:
I 0.7141 0.1250 0.2500
I 0.0359 0.6250 0.2500
I 0.3750 0.2859 0.7500
I 0.8750 0.9641 0.7500
Os 0.0000 0.0000 0.0000
Os 0.7500 0.2500 0.5000
Br 0.5000 0.5000 0.0000
Br 0.2500 0.7500 0.5000

=====

Entry 8:
# Os2IBr

A relaxed Os2IBr crystal (PBE-GGA, Alexandria).

Theoretical density ... 13588 kg/m³
Uncorrected formation energy ... 1804.3 meV/atom
Relative energy among the computed polymorphs ... 1.40 eV/f.u.

a b c (Å): 4.6646 4.6646 4.6646
angles (deg): 60.00 60.00 60.00
Fractional positions:
I 0.5000 0.5000 0.5000
Os 0.2500 0.2500 0.2500
Os 0.7500 0.7500 0.7500
Br 0.0000 0.0000 0.0000

=====

Entry 9:
# OsIBr2

A relaxed OsIBr2 crystal (PBE-GGA, Alexandria).

Theoretical density ... 6968 kg/m³
Uncorrected formation energy ... 607.8 meV/atom
Relative energy among the computed polymorphs ... 0.91 eV/f.u.

a b c (Å): 13.1184 13.1184 13.1184
angles (deg): 13.92 13.92 13.92
Fractional positions:
I 0.5000 0.5000 0.5000
Os 0.0000 0.0000 0.0000
Br 0.9398 0.9398 0.9398
Br 0.0602 0.0602 0.0602

=====

Entry 10:
# Os2IBr8

A relaxed Os2IBr8 crystal (PBE-GGA, Alexandria).

Theoretical density ... 4659 kg/m³
Uncorrected formation energy ... 145.3 meV/atom

a b c (Å): 4.9533 9.6883 9.7993
angles (deg): 119.61 91.53 89.80
Fractional positions:
Os 0.2237 0.3343 0.6686
Os 0.7763 0.6657 0.3314
I 0.0000 0.0000 0.0000
Br 0.2838 0.6963 0.3929
Br 0.7162 0.3037 0.6071
Br 0.7743 0.8014 0.1876
Br 0.2031 0.1908 0.3836
Br 0.2224 0.6136 0.8108
Br 0.2257 0.1987 0.8123
Br 0.7969 0.8092 0.6164
Br 0.7776 0.3864 0.1892

=====

Entry 11:
# OsIBr2

A relaxed OsIBr2 crystal (PBE-GGA, Alexandria).

Theoretical density ... 6144 kg/m³
Uncorrected formation energy ... 721.3 meV/atom
Relative energy among the computed polymorphs ... 1.37 eV/f.u.

a b c (Å): 7.4034 7.4034 7.0375
angles (deg): 58.26 58.26 90.00
Fractional positions:
I 0.5000 0.5000 0.0000
I 0.2500 0.7500 0.5000
Os 0.0000 0.0000 0.0000
Os 0.7500 0.2500 0.5000
Br 0.7437 0.1250 0.2500
Br 0.0063 0.6250 0.2500
Br 0.3750 0.2563 0.7500
Br 0.8750 0.9937 0.7500

=====

Entry 12:
# OsI6Br12

A relaxed OsI6Br12 crystal (PBE-GGA, Alexandria).

Theoretical density ... 3390 kg/m³
Uncorrected formation energy ... -25.2 meV/atom

a b c (Å): 9.9000 9.9000 9.9000
angles (deg): 98.38 98.38 98.38
Fractional positions:
Os 0.0000 0.0000 0.0000
I 0.2274 0.2511 0.7232
I 0.7489 0.2768 0.7726
I 0.2768 0.7726 0.7489
I 0.7726 0.7489 0.2768
I 0.2511 0.7232 0.2274
I 0.7232 0.2274 0.2511
Br 0.3349 0.2508 0.5021
Br 0.2508 0.5021 0.3349
Br 0.5021 0.3349 0.2508
Br 0.6651 0.7492 0.4979
Br 0.7492 0.4979 0.6651
Br 0.4979 0.6651 0.7492
Br 0.0309 0.9103 0.7610
Br 0.2390 0.9691 0.0897
Br 0.0897 0.2390 0.9691
Br 0.9691 0.0897 0.2390
Br 0.7610 0.0309 0.9103
Br 0.9103 0.7610 0.0309

=====

Entry 13:
# OsI2Br8

A relaxed OsI2Br8 crystal (PBE-GGA, Alexandria).

Theoretical density ... 3997 kg/m³
Uncorrected formation energy ... -54.6 meV/atom

a b c (Å): 7.5337 9.3909 9.3908
angles (deg): 47.02 69.74 69.74
Fractional positions:
Os 0.0000 0.0000 0.0000
I 0.4574 0.7480 0.7480
I 0.5426 0.2520 0.2520
Br 0.0318 0.8643 0.3257
Br 0.0318 0.3257 0.8643
Br 0.9682 0.1357 0.6743
Br 0.4460 0.4120 0.4120
Br 0.9682 0.6743 0.1357
Br 0.3612 0.9242 0.9242
Br 0.6388 0.0758 0.0758
Br 0.5540 0.5880 0.5880

=====

Entry 14:
# OsIBr3

A relaxed OsIBr3 crystal (PBE-GGA, Alexandria).

Theoretical density ... 5811 kg/m³
Uncorrected formation energy ... 7.1 meV/atom
Relative energy among the computed polymorphs ... 0.10 eV/f.u.

a b c (Å): 6.2023 10.0307 10.2374
angles (deg): 88.08 90.00 90.00
Fractional positions:
Os 0.5044 0.3690 0.1350
Os 0.4956 0.6310 0.8650
Os 0.0044 0.1310 0.3650
Os 0.9956 0.8690 0.6350
I 0.7188 0.5327 0.2797
I 0.2812 0.4673 0.7203
I 0.2188 0.9673 0.2203
I 0.7812 0.0327 0.7797
Br 0.2527 0.3273 0.3257
Br 0.7473 0.6727 0.6743
Br 0.7527 0.1727 0.1743
Br 0.2473 0.8273 0.8257
Br 0.2004 0.7249 0.4888
Br 0.7996 0.2751 0.5112
Br 0.7004 0.7751 0.0112
Br 0.2996 0.2249 0.9888
Br 0.7633 0.9378 0.4397
Br 0.2367 0.0622 0.5603
Br 0.2633 0.5622 0.0603
Br 0.7367 0.4378 0.9397

=====

Entry 15:
# Pm4OsI2Br

A relaxed Pm4OsI2Br crystal (PBE-GGA, Alexandria).

Theoretical density ... 7035 kg/m³
Uncorrected formation energy ... -799.4 meV/atom

a b c (Å): 4.1833 7.8973 8.2287
angles (deg): 106.55 90.00 90.00
Fractional positions:
Pm 0.5000 0.2742 0.1979
Pm 0.5000 0.7258 0.8021
Pm 0.0000 0.3069 0.8109
Pm 0.0000 0.6931 0.1891
Os 0.5000 0.5000 0.0000
I 0.5000 0.0000 0.5000
I 0.0000 0.5000 0.5000
Br 0.0000 0.0000 0.0000

=====

Entry 16:
# Rb2OsI6Br

A relaxed Rb2OsI6Br crystal (PBE-GGA, Alexandria).

Theoretical density ... 4476 kg/m³
Uncorrected formation energy ... -454.2 meV/atom

a b c (Å): 8.4863 8.4863 8.6245
angles (deg): 60.53 60.53 90.00
Fractional positions:
I 0.2186 0.2186 0.5629
I 0.7814 0.7814 0.4371
I 0.2272 0.2272 0.0000
I 0.7728 0.7728 0.0000
I 0.7728 0.2272 0.0000
I 0.2272 0.7728 0.0000
Os 0.0000 0.0000 0.0000
Br 0.5000 0.5000 0.0000
Rb 0.7500 0.2500 0.5000
Rb 0.2500 0.7500 0.5000

=====

Entry 17:
# Rb2OsIBr6

A relaxed Rb2OsIBr6 crystal (PBE-GGA, Alexandria).

Theoretical density ... 3934 kg/m³
Uncorrected formation energy ... -662.2 meV/atom

a b c (Å): 8.2867 8.2867 8.3484
angles (deg): 60.24 60.24 90.00
Fractional positions:
I 0.5000 0.5000 0.0000
Os 0.0000 0.0000 0.0000
Br 0.2107 0.2107 0.5786
Br 0.7893 0.7893 0.4214
Br 0.2143 0.2143 0.0000
Br 0.7857 0.7857 0.0000
Br 0.7857 0.2143 0.0000
Br 0.2143 0.7857 0.0000
Rb 0.7500 0.2500 0.5000
Rb 0.2500 0.7500 0.5000

=====

Entry 18:
# Os2SIBr

A relaxed Os2SIBr crystal (PBE-GGA, Alexandria).

Theoretical density ... 7771 kg/m³
Uncorrected formation energy ... 2396.1 meV/atom

a b c (Å): 5.0726 5.1432 5.0726
angles (deg): 90.00 90.00 90.00
Fractional positions:
I 0.0000 0.0000 0.0000
S 0.0000 0.5000 0.0000
Os 0.0000 0.0000 0.5000
Os 0.5000 0.0000 0.0000
Br 0.5000 0.5000 0.5000

=====

Entry 19:
# SbOsI2Br

A relaxed SbOsI2Br crystal (PBE-GGA, Alexandria).

Theoretical density ... 6971 kg/m³
Uncorrected formation energy ... 549.4 meV/atom
Relative energy among the computed polymorphs ... 0.00 eV/f.u.

a b c (Å): 5.4855 5.4855 5.1115
angles (deg): 90.00 90.00 90.00
Fractional positions:
I 0.0000 0.5000 0.0000
I 0.5000 0.0000 0.0000
Sb 0.0000 0.0000 0.5000
Os 0.0000 0.0000 0.0000
Br 0.5000 0.5000 0.5000

=====

Entry 20:
# SbOsI2Br

A relaxed SbOsI2Br crystal (PBE-GGA, Alexandria).

Theoretical density ... 5694 kg/m³
Uncorrected formation energy ... 1870.8 meV/atom
Relative energy among the computed polymorphs ... 6.61 eV/f.u.

a b c (Å): 5.7025 5.7025 5.7903
angles (deg): 90.00 90.00 90.00
Fractional positions:
I 0.0000 0.5000 0.0000
I 0.5000 0.0000 0.0000
Sb 0.0000 0.0000 0.5000
Os 0.5000 0.5000 0.5000
Br 0.0000 0.0000 0.0000

=====

Let's list E_tot in order: -3.04 -3.04 -3.57 -3.65 -2.70 -2.72 -3.39 -4.62 -3.42 -3.25 -3.31 -2.16 -2.57 -3.55 -5.18 -2.87 -3.14 -3.57 -3.48 -2.15 eV/atom.
Let's list density of states at the Fermi level in order: 0.777 1.420 0.818 1.057 0.808 0.475 0.948 1.981 0.878 0.634 1.012 1.087 0.416 0.774 0.702 1.148 0.584 1.123 1.281 1.163 states/eV per atom.
Let's list M_tot in order: 1.20 1.30 4.03 0.00 0.00 3.81 0.00 0.00 0.00 0.66 0.00 2.03 2.66 5.11 0.00 3.00 3.00 5.51 0.00 3.92 Bohr magnetons per cell.